(1)
A relaxed structure of NaTl2Rh3O8. Source: the Alexandria database, functional PBE-GGA.

Computed properties:
D(E_F) = 0.4859 states/eV per atom
raw formation energy = -0.835 eV/atom
V = 13.98 Å³ per atom
electronic total energy = -5.676 eV per atom
ρ = 7.4 g/cm³

Lattice parameters (Å, degrees): 6.326 6.326 6.726 61.95 61.95 60.00
Fractional positions:
O  0.727  0.727  0.818
O  0.251  0.688  0.810
O  0.751  0.303  0.195
O  0.751  0.751  0.195
O  0.688  0.251  0.810
O  0.251  0.251  0.810
O  0.275  0.275  0.176
O  0.303  0.751  0.195
Rh  0.501  0.993  0.004
Rh  0.993  0.501  0.004
Rh  0.501  0.501  0.004
Tl  0.501  0.501  0.498
Tl  0.125  0.125  0.626
Na  0.875  0.875  0.376

(2)
A relaxed structure of Na3TmRh2O6. Source: the Alexandria database, functional PBE-GGA.

Computed properties:
raw formation energy = -1.689 eV/atom
V = 11.86 Å³ per atom
electronic total energy = -6.096 eV per atom
ρ = 6.3 g/cm³

Lattice parameters (Å, degrees): 5.467 5.467 5.788 98.99 98.99 120.00
Fractional positions:
Na  0.828  0.172  0.500
Na  0.172  0.828  0.500
Na  0.500  0.500  0.500
O  0.721  0.721  0.213
O  0.279  0.279  0.787
O  0.419  0.069  0.210
O  0.931  0.581  0.790
O  0.069  0.419  0.210
O  0.581  0.931  0.790
Tm  0.000  0.000  0.000
Rh  0.666  0.334  0.000
Rh  0.334  0.666  0.000

(3)
A relaxed structure of Na3Tm2RhO6. Source: the Alexandria database, functional PBE-GGA.

Computed properties:
D(E_F) = 0.0000 states/eV per atom
raw formation energy = -2.259 eV/atom
V = 12.71 Å³ per atom
electronic total energy = -6.426 eV per atom
ρ = 6.6 g/cm³

Lattice parameters (Å, degrees): 5.622 5.622 5.866 99.04 99.04 119.96
Fractional positions:
Rh  0.000  0.000  0.000
Na  0.500  0.500  0.500
Na  0.157  0.843  0.500
Na  0.843  0.157  0.500
O  0.608  0.929  0.787
O  0.392  0.071  0.213
O  0.071  0.392  0.213
O  0.747  0.747  0.211
O  0.253  0.253  0.789
O  0.929  0.608  0.787
Tm  0.667  0.333  0.000
Tm  0.333  0.667  0.000

(4)
A relaxed structure of Na3Tm3RhO8. Source: the Alexandria database, functional PBE-GGA.

Computed properties:
D(E_F) = 0.4715 states/eV per atom
raw formation energy = -2.424 eV/atom
V = 13.89 Å³ per atom
electronic total energy = -6.717 eV per atom
ρ = 6.4 g/cm³

Lattice parameters (Å, degrees): 6.583 6.583 6.726 119.29 90.00 120.00
Fractional positions:
Tm  0.500  0.000  0.500
Tm  0.500  0.500  0.500
Tm  0.000  0.500  0.500
O  0.222  0.978  0.700
O  0.778  0.022  0.300
O  0.756  0.978  0.700
O  0.778  0.557  0.300
O  0.244  0.022  0.300
O  0.264  0.529  0.293
O  0.222  0.443  0.700
O  0.736  0.471  0.707
Na  0.000  0.000  0.000
Na  0.500  0.500  0.000
Na  0.000  0.500  0.000
Rh  0.000  0.000  0.500

(5)
A relaxed structure of Na2Tm2RhO6. Source: the Alexandria database, functional PBE-GGA.

Computed properties:
D(E_F) = 0.6334 states/eV per atom
raw formation energy = -2.230 eV/atom
V = 14.16 Å³ per atom
electronic total energy = -6.655 eV per atom
ρ = 6.2 g/cm³

Lattice parameters (Å, degrees): 5.637 5.637 5.867 97.73 97.73 119.84
Fractional positions:
O  0.749  0.749  0.701
O  0.365  0.047  0.694
O  0.635  0.953  0.306
O  0.047  0.365  0.694
O  0.251  0.251  0.299
O  0.953  0.635  0.306
Rh  0.000  0.000  0.500
Na  0.850  0.150  0.000
Na  0.150  0.850  0.000
Tm  0.663  0.337  0.500
Tm  0.337  0.663  0.500

(6)
A relaxed structure of NaTm2RhO5. Source: the Alexandria database, functional PBE-GGA.

Computed properties:
D(E_F) = 0.4691 states/eV per atom
raw formation energy = -2.325 eV/atom
V = 13.17 Å³ per atom
electronic total energy = -7.037 eV per atom
ρ = 7.6 g/cm³

Lattice parameters (Å, degrees): 5.731 6.432 6.432 90.00 90.00 90.00
Fractional positions:
Na  0.000  0.500  0.500
Na  0.000  0.000  0.000
Tm  0.500  0.824  0.676
Tm  0.500  0.176  0.324
Tm  0.500  0.676  0.176
Tm  0.500  0.324  0.824
Rh  0.000  0.500  0.000
Rh  0.000  0.000  0.500
O  0.741  0.361  0.139
O  0.500  0.500  0.500
O  0.259  0.361  0.139
O  0.500  0.000  0.000
O  0.741  0.139  0.639
O  0.259  0.639  0.861
O  0.259  0.139  0.639
O  0.741  0.639  0.861
O  0.259  0.861  0.361
O  0.741  0.861  0.361

(7)
A relaxed structure of Na3URh3O8. Source: the Alexandria database, functional PBE-GGA.

Computed properties:
D(E_F) = 0.4684 states/eV per atom
raw formation energy = -1.482 eV/atom
V = 12.84 Å³ per atom
electronic total energy = -6.613 eV per atom
ρ = 6.4 g/cm³

Lattice parameters (Å, degrees): 6.241 6.247 6.743 117.53 90.00 119.95
Fractional positions:
O  0.234  0.468  0.716
O  0.237  0.982  0.716
O  0.766  0.532  0.284
O  0.727  0.454  0.681
O  0.745  0.982  0.715
O  0.255  0.018  0.285
O  0.763  0.018  0.284
O  0.273  0.546  0.319
Rh  0.000  0.500  0.500
Rh  0.500  0.000  0.500
Rh  0.500  0.500  0.500
Na  0.000  0.500  0.000
Na  0.500  0.500  0.000
Na  0.000  0.000  0.000
U  0.000  0.000  0.500

(8)
A relaxed structure of NaURhO6. Source: the Alexandria database, functional PBE-GGA.

Computed properties:
D(E_F) = 0.6447 states/eV per atom
raw formation energy = -1.865 eV/atom
V = 14.56 Å³ per atom
electronic total energy = -7.388 eV per atom
ρ = 5.8 g/cm³

Lattice parameters (Å, degrees): 5.428 5.428 10.270 90.00 90.00 120.00
Fractional positions:
Rh  0.333  0.667  0.750
Rh  0.667  0.333  0.250
O  0.629  0.989  0.855
O  0.371  0.360  0.355
O  0.629  0.640  0.645
O  0.989  0.360  0.145
O  0.989  0.629  0.355
O  0.360  0.989  0.645
O  0.011  0.640  0.855
O  0.011  0.371  0.645
O  0.640  0.011  0.355
O  0.371  0.011  0.145
O  0.360  0.371  0.855
O  0.640  0.629  0.145
Na  0.000  0.000  0.000
Na  0.000  0.000  0.500
U  0.667  0.333  0.750
U  0.333  0.667  0.250